# 1
Crystalline CsDySeO at its relaxed geometry. Source: the Open Quantum Materials Database, functional PBE-GGA.

```
data_CsDySeO
_cell_length_a 3.8208
_cell_length_b 3.8208
_cell_length_c 15.3198
_cell_angle_alpha 90.00
_cell_angle_beta 90.00
_cell_angle_gamma 120.00
_space_group_name_H-M_alt 'P -3 m 1'
_space_group_IT_number 164
_space_group_name_Hall '-P 3 2"'
loop_
_atom_site_label
_atom_site_fract_x
_atom_site_fract_y
_atom_site_fract_z
Cs1 0.3333 0.6667 0.2863
Dy1 0.0000 0.0000 0.0000
Dy2 0.0000 0.0000 0.5000
Se1 0.3333 0.6667 0.8873
O1 0.3333 0.6667 0.5680
```

Computed properties:
Offset from the most stable computed form ... 0.169 eV per atom

# 2
Crystalline CsDySeO at its relaxed geometry. Source: the Open Quantum Materials Database, functional PBE-GGA.

```
data_CsDySeO
_cell_length_a 4.5466
_cell_length_b 4.5466
_cell_length_c 9.9060
_cell_angle_alpha 90.00
_cell_angle_beta 90.00
_cell_angle_gamma 90.00
_space_group_name_H-M_alt 'P 4/n m m'
_space_group_IT_number 129
loop_
_space_group_symop_operation_xyz
'x,y,z'
'-x,-y,-z'
'-y+1/2,x,z'
'y+1/2,-x,-z'
'-x+1/2,-y+1/2,z'
'x+1/2,y+1/2,-z'
'y,-x+1/2,z'
'-y,x+1/2,-z'
'x+1/2,-y,-z'
'-x+1/2,y,z'
'-y,-x,-z'
'y,x,z'
'-x,y+1/2,-z'
'x,-y+1/2,z'
'y+1/2,x+1/2,-z'
'-y+1/2,-x+1/2,z'
loop_
_atom_site_label
_atom_site_fract_x
_atom_site_fract_y
_atom_site_fract_z
Cs1 0.2500 0.7500 0.0000
Dy1 0.2500 0.2500 0.4425
Se1 0.2500 0.2500 0.7461
O1 0.2500 0.7500 0.5000
```

Computed properties:
Offset from the most stable computed form ... 0.402 eV per atom

# 3
Crystalline CsDySe2O8 at its relaxed geometry. Source: the Open Quantum Materials Database, functional PBE-GGA.

```
data_CsDySe2O8
_cell_length_a 5.7022
_cell_length_b 5.7022
_cell_length_c 7.9866
_cell_angle_alpha 90.00
_cell_angle_beta 90.00
_cell_angle_gamma 120.00
_space_group_name_H-M_alt 'P -3 m 1'
_space_group_IT_number 164
_space_group_name_Hall '-P 3 2"'
loop_
_atom_site_label
_atom_site_fract_x
_atom_site_fract_y
_atom_site_fract_z
Cs1 0.0000 0.0000 0.0000
Dy1 0.0000 0.0000 0.5000
Se1 0.3333 0.6667 0.2540
O1 0.1759 0.3518 0.3294
O2 0.3333 0.6667 0.0488
```

# 4
Crystalline CsDySeO at its relaxed geometry. Source: the Open Quantum Materials Database, functional PBE-GGA.

```
data_CsDySeO
_cell_length_a 8.4762
_cell_length_b 7.4719
_cell_length_c 6.7626
_cell_angle_alpha 90.00
_cell_angle_beta 101.26
_cell_angle_gamma 90.00
_space_group_name_H-M_alt 'P 1 21/c 1'
_space_group_IT_number 14
_space_group_name_Hall '-P 2ybc'
loop_
_atom_site_label
_atom_site_fract_x
_atom_site_fract_y
_atom_site_fract_z
Cs1 0.0894 0.2156 0.4763
Dy1 0.4815 0.6292 0.7834
Se1 0.2659 0.5962 0.3712
O1 0.4154 0.1459 0.3843
```

Computed properties:
Offset from the most stable computed form ... 0.000 eV per atom

# 5
Crystalline CsDySeO at its relaxed geometry. Source: the Open Quantum Materials Database, functional PBE-GGA.

```
data_CsDySeO
_cell_length_a 4.5494
_cell_length_b 8.7939
_cell_length_c 6.9718
_cell_angle_alpha 90.00
_cell_angle_beta 90.00
_cell_angle_gamma 90.00
_space_group_name_H-M_alt 'P m c 21'
_space_group_IT_number 26
_space_group_name_Hall 'P 2c -2'
loop_
_atom_site_label
_atom_site_fract_x
_atom_site_fract_y
_atom_site_fract_z
Cs1 0.0000 0.1958 0.0000
Dy1 0.5000 0.3872 0.4372
Se1 0.0000 0.2127 0.5043
O1 0.5000 0.4335 0.1383
```

Computed properties:
Offset from the most stable computed form ... 0.047 eV per atom

# 6
Crystalline CsDySeO at its relaxed geometry. Source: the Open Quantum Materials Database, functional PBE-GGA.

```
data_CsDySeO
_cell_length_a 3.8169
_cell_length_b 3.8169
_cell_length_c 15.3528
_cell_angle_alpha 90.00
_cell_angle_beta 90.00
_cell_angle_gamma 120.00
_space_group_name_H-M_alt 'P -6 m 2'
_space_group_IT_number 187
_space_group_name_Hall 'P -6 2'
loop_
_atom_site_label
_atom_site_fract_x
_atom_site_fract_y
_atom_site_fract_z
Cs1 0.0000 0.0000 0.0000
Cs2 0.3333 0.6667 0.5000
Dy1 0.6667 0.3333 0.2132
Se1 0.0000 0.0000 0.3269
O1 0.3333 0.6667 0.1470
```

Computed properties:
Offset from the most stable computed form ... 0.160 eV per atom

# 7
Crystalline CsDySeO at its relaxed geometry. Source: the Open Quantum Materials Database, functional PBE-GGA.

```
data_CsDySeO
_cell_length_a 3.8208
_cell_length_b 3.8208
_cell_length_c 15.3198
_cell_angle_alpha 90.00
_cell_angle_beta 90.00
_cell_angle_gamma 120.00
_space_group_name_H-M_alt 'P -3 m 1'
_space_group_IT_number 164
_space_group_name_Hall '-P 3 2"'
loop_
_atom_site_label
_atom_site_fract_x
_atom_site_fract_y
_atom_site_fract_z
Cs1 0.3333 0.6667 0.2863
Dy1 0.0000 0.0000 0.0000
Dy2 0.0000 0.0000 0.5000
Se1 0.3333 0.6667 0.8873
O1 0.3333 0.6667 0.5680
```

Computed properties:
Offset from the most stable computed form ... 0.169 eV per atom

# 8
Crystalline CsDyTeO at its relaxed geometry. Source: the Open Quantum Materials Database, functional PBE-GGA.

```
data_CsDyTeO
_cell_length_a 3.9061
_cell_length_b 3.9061
_cell_length_c 16.1270
_cell_angle_alpha 90.00
_cell_angle_beta 90.00
_cell_angle_gamma 120.00
_space_group_name_H-M_alt 'P -3 m 1'
_space_group_IT_number 164
_space_group_name_Hall '-P 3 2"'
loop_
_atom_site_label
_atom_site_fract_x
_atom_site_fract_y
_atom_site_fract_z
Cs1 0.3333 0.6667 0.2990
Dy1 0.0000 0.0000 0.0000
Dy2 0.0000 0.0000 0.5000
Te1 0.3333 0.6667 0.8781
O1 0.3333 0.6667 0.5630
```

Computed properties:
Offset from the most stable computed form ... 0.386 eV per atom

# 9
Crystalline CsDyTeO at its relaxed geometry. Source: the Open Quantum Materials Database, functional PBE-GGA.

```
data_CsDyTeO
_cell_length_a 4.8638
_cell_length_b 9.0799
_cell_length_c 7.1914
_cell_angle_alpha 90.00
_cell_angle_beta 90.00
_cell_angle_gamma 90.00
_space_group_name_H-M_alt 'P m c 21'
_space_group_IT_number 26
_space_group_name_Hall 'P 2c -2'
loop_
_atom_site_label
_atom_site_fract_x
_atom_site_fract_y
_atom_site_fract_z
Cs1 0.0000 0.2074 0.0000
Dy1 0.5000 0.3978 0.4236
Te1 0.0000 0.2134 0.5010
O1 0.5000 0.4400 0.1326
```

Computed properties:
Offset from the most stable computed form ... 0.167 eV per atom

# 10
Crystalline CsDyTeO at its relaxed geometry. Source: the Open Quantum Materials Database, functional PBE-GGA.

```
data_CsDyTeO
_cell_length_a 4.4734
_cell_length_b 4.4734
_cell_length_c 10.8459
_cell_angle_alpha 90.00
_cell_angle_beta 90.00
_cell_angle_gamma 90.00
_space_group_name_H-M_alt 'P 4/n m m'
_space_group_IT_number 129
loop_
_space_group_symop_operation_xyz
'x,y,z'
'-x,-y,-z'
'-y+1/2,x,z'
'y+1/2,-x,-z'
'-x+1/2,-y+1/2,z'
'x+1/2,y+1/2,-z'
'y,-x+1/2,z'
'-y,x+1/2,-z'
'x+1/2,-y,-z'
'-x+1/2,y,z'
'-y,-x,-z'
'y,x,z'
'-x,y+1/2,-z'
'x,-y+1/2,z'
'y+1/2,x+1/2,-z'
'-y+1/2,-x+1/2,z'
loop_
_atom_site_label
_atom_site_fract_x
_atom_site_fract_y
_atom_site_fract_z
Cs1 0.2500 0.7500 0.0000
Dy1 0.2500 0.2500 0.4290
Te1 0.2500 0.2500 0.7448
O1 0.2500 0.7500 0.5000
```

Computed properties:
Offset from the most stable computed form ... 0.448 eV per atom

# 11
Crystalline CsDyTeO at its relaxed geometry. Source: the Open Quantum Materials Database, functional PBE-GGA.

```
data_CsDyTeO
_cell_length_a 3.9087
_cell_length_b 3.9087
_cell_length_c 16.1662
_cell_angle_alpha 90.00
_cell_angle_beta 90.00
_cell_angle_gamma 120.00
_space_group_name_H-M_alt 'P -6 m 2'
_space_group_IT_number 187
_space_group_name_Hall 'P -6 2'
loop_
_atom_site_label
_atom_site_fract_x
_atom_site_fract_y
_atom_site_fract_z
Cs1 0.0000 0.0000 0.0000
Cs2 0.3333 0.6667 0.5000
Dy1 0.6667 0.3333 0.1992
Te1 0.0000 0.0000 0.3227
O1 0.3333 0.6667 0.1397
```

Computed properties:
Offset from the most stable computed form ... 0.375 eV per atom

# 12
Crystalline CsDyTe2O8 at its relaxed geometry. Source: the Open Quantum Materials Database, functional PBE-GGA.

```
data_CsDyTe2O8
_cell_length_a 5.9701
_cell_length_b 5.9701
_cell_length_c 7.9262
_cell_angle_alpha 90.00
_cell_angle_beta 90.00
_cell_angle_gamma 120.00
_space_group_name_H-M_alt 'P -3 m 1'
_space_group_IT_number 164
_space_group_name_Hall '-P 3 2"'
loop_
_atom_site_label
_atom_site_fract_x
_atom_site_fract_y
_atom_site_fract_z
Cs1 0.0000 0.0000 0.0000
Dy1 0.0000 0.0000 0.5000
Te1 0.3333 0.6667 0.2428
O1 0.1682 0.3365 0.3269
O2 0.3333 0.6667 0.0135
```

Result set for energy: -5.50; -5.26; -5.88; -5.66; -5.62; -5.50; -5.50; -5.14; -5.35; -5.07; -5.15; -5.86 eV/atom, one per record in the order listed.
Result set for total moment: 0.0; 0.0; 0.0; 0.0; 0.0; 0.0; 0.0; 0.0; 0.0; 0.0; 0.0; 0.0 μB/f.u., one per record in the order listed.